An optimized crystal structure of K3CrBi3Se8. Source: Alexandria via LeMat-Bulk, functional PBE.

Magnetic moment, μB/cell: 2.0

abc: 9.2812 9.2812 9.2812
angles: 53.15 53.15 53.15
Fractional coordinates of all 15 atoms:
K: 0.0000 0.5000 0.5000
K: 0.5000 0.0000 0.5000
K: 0.5000 0.5000 0.0000
Cr: 0.5000 0.5000 0.5000
Bi: 0.0000 0.0000 0.5000
Bi: 0.0000 0.5000 0.0000
Bi: 0.5000 0.0000 0.0000
Se: 0.2385 0.2385 0.2385
Se: 0.2690 0.7092 0.7092
Se: 0.2908 0.2908 0.7310
Se: 0.2908 0.7310 0.2908
Se: 0.7092 0.2690 0.7092
Se: 0.7092 0.7092 0.2690
Se: 0.7310 0.2908 0.2908
Se: 0.7615 0.7615 0.7615

***

An optimized crystal structure of NiRhSN2. Source: Alexandria via LeMat-Bulk, functional PBE.

Magnetic moment, μB/cell: 0.7

abc: 3.5393 3.5393 4.6229
angles: 90.00 90.00 90.00
Fractional coordinates of all 5 atoms:
Ni: 0.0000 0.0000 0.0000
Rh: 0.5000 0.5000 0.0000
S: 0.5000 0.5000 0.5000
N: 0.0000 0.5000 0.5000
N: 0.5000 0.0000 0.5000

***

An optimized crystal structure of Li2HoErTe4. Source: Alexandria via LeMat-Bulk, functional PBE.

Magnetic moment, μB/cell: 0.0

abc: 7.4799 4.3232 7.4816
angles: 90.00 109.47 90.00
Fractional coordinates of all 8 atoms:
Li: 0.0000 0.0000 0.0000
Li: 0.0000 0.5000 0.5000
Ho: 0.5000 0.0000 0.5000
Er: 0.5000 0.5000 0.0000
Te: 0.2463 0.0000 0.7497
Te: 0.2459 0.5000 0.2479
Te: 0.7537 0.0000 0.2503
Te: 0.7541 0.5000 0.7521

***

The records above give, respectively, energy relative to the elements, uncorrected values of -0.6839, 1.7349, -1.2834 eV/atom.